(1)
A geometry-optimized CsRb2HAu structure, computed with PBE.

a b c (Å): 4.8235 10.1068 9.2039
angles (deg): 90.00 90.00 103.81
Atoms (fractional coordinates):
Rb 0.8429 0.6858 0.9912
Rb 0.1571 0.3142 0.4912
Rb 0.8429 0.6858 0.5088
Rb 0.1571 0.3142 0.0088
H 0.0000 0.0000 0.5000
H 0.0000 0.0000 0.0000
Cs 0.4898 0.9796 0.2500
Cs 0.5102 0.0204 0.7500
Au 0.6937 0.3874 0.7500
Au 0.3063 0.6126 0.2500

Values from the calculation:
SG: Cmcm
Relative energy among the computed polymorphs, kJ/mol of atoms: 0.00

(2)
A geometry-optimized CsRb3H6Au2 structure, computed with PBE.

a b c (Å): 6.4798 6.4798 8.2875
angles (deg): 90.00 90.00 120.00
Atoms (fractional coordinates):
Au 0.6667 0.3333 0.7707
Au 0.3333 0.6667 0.2293
Rb 0.0000 0.0000 0.0000
Rb 0.3333 0.6667 0.8029
Rb 0.6667 0.3333 0.1971
Cs 0.0000 0.0000 0.5000
H 0.1791 0.8209 0.2299
H 0.3583 0.1791 0.7701
H 0.1791 0.3583 0.2299
H 0.8209 0.1791 0.7701
H 0.6417 0.8209 0.2299
H 0.8209 0.6417 0.7701

Values from the calculation:
Total DFT energy (no corrections), eV/atom: -2.74
SG: P-3m1

(3)
A geometry-optimized CsRbH2Au structure, computed with PBE.

a b c (Å): 4.6325 11.0286 8.8372
angles (deg): 128.61 90.00 90.00
Atoms (fractional coordinates):
Cs 0.7333 0.2500 0.5000
Cs 0.2667 0.7500 0.5000
Rb 0.5000 0.2500 0.0000
Rb 0.5000 0.7500 0.0000
Au 0.0000 0.0000 0.0000
Au 0.0000 0.5000 0.0000
H 0.7650 0.5910 0.1820
H 0.2350 0.4090 0.8180
H 0.2350 0.0910 0.1820
H 0.7650 0.9090 0.8180

Values from the calculation:
Total DFT energy (no corrections), eV/atom: -2.55
SG: Cmme

(4)
A geometry-optimized Cs4RbHAu2 structure, computed with PBE.

a b c (Å): 4.7671 8.2840 11.0967
angles (deg): 77.19 77.60 73.28
Atoms (fractional coordinates):
Cs 0.6096 0.7162 0.0647
Cs 0.8255 0.0668 0.2823
Cs 0.1745 0.9332 0.7177
Cs 0.3904 0.2838 0.9353
Au 0.1667 0.4214 0.2452
Au 0.8333 0.5786 0.7548
Rb 0.5000 0.5000 0.5000
H 0.0000 0.0000 0.0000

Values from the calculation:
Total DFT energy (no corrections), eV/atom: -1.97
SG: C2/m

(5)
A geometry-optimized Cs6Rb3HAu2 structure, computed with PBE.

a b c (Å): 8.7612 8.7612 12.9024
angles (deg): 96.46 96.46 119.93
Atoms (fractional coordinates):
Cs 0.7418 0.7418 0.1546
Cs 0.2582 0.2582 0.8454
Cs 0.0505 0.3579 0.1514
Cs 0.6421 0.9495 0.8486
Cs 0.3579 0.0505 0.1514
Cs 0.9495 0.6421 0.8486
Rb 0.5000 0.5000 0.5000
Rb 0.8306 0.1694 0.5000
Rb 0.1694 0.8306 0.5000
H 0.0000 0.0000 0.0000
Au 0.3337 0.6663 0.0000
Au 0.6663 0.3337 0.0000

Values from the calculation:
Total DFT energy (no corrections), eV/atom: -1.62
SG: C2/m

(6)
A geometry-optimized CsRbH3Au structure, computed with PBE.

a b c (Å): 6.7223 6.7223 7.4661
angles (deg): 90.00 90.00 120.00
Atoms (fractional coordinates):
H 0.1838 0.3675 0.2500
H 0.1838 0.8162 0.2500
H 0.8162 0.6325 0.7500
H 0.8162 0.1838 0.7500
H 0.6325 0.8162 0.2500
H 0.3675 0.1838 0.7500
Cs 0.3333 0.6667 0.7500
Cs 0.6667 0.3333 0.2500
Au 0.6667 0.3333 0.7500
Au 0.3333 0.6667 0.2500
Rb 0.0000 0.0000 0.5000
Rb 0.0000 0.0000 0.0000

Values from the calculation:
Total DFT energy (no corrections), eV/atom: -2.74
SG: P6_3/mmc

(7)
A geometry-optimized CsRb2HAu structure, computed with PBE.

a b c (Å): 5.6175 5.6175 6.1003
angles (deg): 90.00 90.00 90.00
Atoms (fractional coordinates):
Rb 0.0000 0.5000 0.0000
Rb 0.5000 0.0000 0.0000
Cs 0.0000 0.0000 0.5000
H 0.0000 0.0000 0.0000
Au 0.5000 0.5000 0.5000

Values from the calculation:
SG: P4/mmm
Relative energy among the computed polymorphs, kJ/mol of atoms: 2.44

(8)
A geometry-optimized Cs6RbHAu2 structure, computed with PBE.

a b c (Å): 9.1212 9.1131 10.0039
angles (deg): 62.81 62.84 59.98
Atoms (fractional coordinates):
Cs 0.3018 0.7302 0.7777
Cs 0.5259 0.3326 0.2042
Cs 0.9377 0.5257 0.2048
Cs 0.3321 0.9372 0.2046
Cs 0.1897 0.3021 0.7782
Cs 0.7300 0.1897 0.7783
Au 0.9724 0.9723 0.0833
Au 0.5080 0.5067 0.4778
H 0.3356 0.3355 0.9934
Rb 0.8284 0.8296 0.5128

Values from the calculation:
Total DFT energy (no corrections), eV/atom: -1.73
SG: P1

(9)
A geometry-optimized Cs6Rb2HAu3 structure, computed with PBE.

a b c (Å): 8.4715 9.8913 9.9419
angles (deg): 119.83 89.69 90.00
Atoms (fractional coordinates):
Au 0.5000 0.0000 0.5000
Au 0.0000 0.5000 0.0000
Au 0.5000 0.5000 0.5000
H 0.5000 0.0000 0.0000
Cs 0.7166 0.8456 0.6911
Cs 0.2689 0.1680 0.8500
Cs 0.2834 0.1544 0.3089
Cs 0.7311 0.3181 0.1500
Cs 0.2689 0.6819 0.8500
Cs 0.7311 0.8320 0.1500
Rb 0.2374 0.6726 0.3452
Rb 0.7626 0.3274 0.6548

Values from the calculation:
Total DFT energy (no corrections), eV/atom: -1.85
SG: C2/m

(10)
A geometry-optimized Cs2HAuS2 structure, computed with PBE.

a b c (Å): 7.1883 12.6360 8.9299
angles (deg): 135.03 113.73 90.00
Atoms (fractional coordinates):
S 0.4961 0.3721 0.9922
S 0.0039 0.3799 0.0078
S 0.9961 0.6201 0.9922
S 0.5039 0.6279 0.0078
Cs 0.3408 0.9654 0.6815
Cs 0.6592 0.0346 0.3185
Cs 0.8408 0.7161 0.6815
Cs 0.1592 0.2838 0.3185
Au 0.7500 0.5000 0.0000
Au 0.2500 0.5000 0.0000
H 0.2500 0.0000 0.0000
H 0.7500 0.0000 0.0000

Values from the calculation:
Total DFT energy (no corrections), eV/atom: -3.19
SG: Ibam

(11)
A geometry-optimized Cs8SbHAu2 structure, computed with PBE.

a b c (Å): 8.5357 8.4957 10.5137
angles (deg): 90.00 90.00 88.66
Atoms (fractional coordinates):
Sb 0.0000 0.0000 0.5000
Cs 0.8201 0.2035 0.2232
Cs 0.6770 0.7106 0.5000
Cs 0.3230 0.2894 0.5000
Cs 0.1799 0.7965 0.2232
Cs 0.8201 0.2035 0.7768
Cs 0.2867 0.2664 0.0000
Cs 0.1799 0.7965 0.7768
Cs 0.7133 0.7336 0.0000
Au 0.5000 0.5000 0.2309
Au 0.5000 0.5000 0.7691
H 0.0000 0.0000 0.0000

Values from the calculation:
Total DFT energy (no corrections), eV/atom: -1.95
SG: P2/m

(12)
A geometry-optimized Cs8SbH2Au structure, computed with PBE.

a b c (Å): 9.4102 9.4102 10.6120
angles (deg): 90.00 90.00 120.00
Atoms (fractional coordinates):
Cs 0.6667 0.3333 0.5862
Cs 0.6756 0.8378 0.7690
Cs 0.8378 0.6756 0.2310
Cs 0.3244 0.1622 0.2310
Cs 0.8378 0.1622 0.2310
Cs 0.3333 0.6667 0.4138
Cs 0.1622 0.8378 0.7690
Cs 0.1622 0.3244 0.7690
H 0.3333 0.6667 0.6783
H 0.6667 0.3333 0.3217
Au 0.0000 0.0000 0.0000
Sb 0.0000 0.0000 0.5000

Values from the calculation:
Total DFT energy (no corrections), eV/atom: -1.89
SG: P-3m1